Run w
ZrMnNb3: relaxed, PBE-GGA.

a = 4.845 Å, b = 4.845 Å, c = 4.845 Å
α = 90.00°, β = 90.00°, γ = 90.00°
Space group Pm-3m (No. 221)
Unique sites:
Zr 0.000 0.000 0.000 [1 per cell]
Mn 0.500 0.500 0.500 [1 per cell]
Nb 0.000 0.000 0.500 [3 per cell]

Run x
ZrMnNb3: relaxed, PBE-GGA.

a = 4.648 Å, b = 4.648 Å, c = 4.648 Å
α = 90.00°, β = 90.00°, γ = 90.00°
Space group Pm-3m (No. 221)
Unique sites:
Zr 0.000 0.000 0.000 [1 per cell]
Mn 0.500 0.500 0.500 [1 per cell]
Nb 0.000 0.500 0.500 [3 per cell]

So which one is most stable? That would be run x, about 157.4 kJ/mol of atoms below the next structure.